Rb2CoF: optimized geometry, PBE+U.

abc: 5.681 5.681 5.681
angles: 60.00 60.00 60.00
Last column: magnetic moment on the atom in μB.
Element x y z (fractional)
Co (0.500, 0.500, 0.500)  2.14
Rb (0.250, 0.250, 0.250)  -0.01
Rb (0.750, 0.750, 0.750)  -0.01
F (0.000, 0.000, 0.000)  -0.01

Its calculated volume is 129.67 Å³ per cell. The crystal system is cubic. The space group is Fm-3m (225). As for the total energy: -2.50 eV per atom. The energy above the most stable polymorph in this dataset is 0.58 eV/f.u.